Entry 1:
VASP calculation (PBE) on TaRhSCl2 after structural relaxation.

abc: 4.7853 4.7853 4.7915
angles: 90.00 90.00 90.00
Atoms (fractional coordinates):
Ta1 0.0000 0.0000 0.0000
Rh1 0.5000 0.5000 0.5000
S1 0.0000 0.0000 0.5000
Cl1 0.0000 0.5000 0.0000
Cl2 0.5000 0.0000 0.0000

Properties
**E**: -25.7 eV for the cell shown
**Offset from the most stable computed form**: 0 meV/atom
**Formation energy without anion corrections**: 0.26 eV per atom

=====

Entry 2:
VASP calculation (PBE) on La2Nd5SmTm after structural relaxation.

abc: 10.3783 10.3783 10.3783
angles: 130.36 130.36 72.83
Atoms (fractional coordinates):
La1 0.1209 0.6209 0.7418
La2 0.3791 0.1209 0.5000
La3 0.6209 0.8791 0.5000
La4 0.8791 0.3791 0.2582
Nd1 0.0000 0.0000 0.0000
Nd2 0.0768 0.1353 0.5000
Nd3 0.1353 0.6353 0.0586
Nd4 0.3647 0.4232 0.5000
Nd5 0.4232 0.9232 0.0586
Nd6 0.5000 0.5000 0.0000
Nd7 0.5768 0.0768 0.9414
Nd8 0.6353 0.5768 0.5000
Nd9 0.8647 0.3647 0.9414
Nd10 0.9232 0.8647 0.5000
Sm1 0.2500 0.2500 0.0000
Sm2 0.7500 0.7500 0.0000
Tm1 0.2500 0.7500 0.5000
Tm2 0.7500 0.2500 0.5000

Properties
**E**: -81.3 eV for the cell shown
**ΔE_f**: 0.249 eV/atom

=====

Q: Which value of E does entry 2 give?
A: -81.3 eV for the cell shown

=====

Q: Which of these has the lowest E?
A: La2Nd5SmTm

=====

Q: Among the records above, which one has the lowest E?
A: La2Nd5SmTm